Entry 1:
VASP calculation (PBE) on CaHoSc after structural relaxation.

abc: 3.5587 3.5587 7.8613
angles: 103.08 103.08 90.00
Fractional coordinates of all 3 atoms:
Ho  0.3183  0.3183  0.6365
Ca  0.0048  0.0048  0.0095
Sc  0.6770  0.6770  0.3540

Distance to the lowest polymorph of the same formula (eV/atom): 0.000
ΔH_f (0 K) (eV per atom): 0.122

---

Entry 2:
VASP calculation (PBE) on GaHCl3 after structural relaxation.

abc: 7.1393 9.5128 10.0165
angles: 96.45 90.00 90.00
Fractional coordinates of all 20 atoms:
Cl  0.6110  0.6540  0.5089
Cl  0.3793  0.1655  0.1045
Cl  0.6207  0.8345  0.8955
Cl  0.1110  0.8460  0.9911
Cl  0.3890  0.3460  0.4911
Cl  0.1207  0.6655  0.6045
Cl  0.2376  0.0869  0.7439
Cl  0.7624  0.9131  0.2561
Cl  0.8890  0.1540  0.0089
Cl  0.7376  0.4131  0.7561
Cl  0.8793  0.3345  0.3955
Cl  0.2624  0.5869  0.2439
Ga  0.6925  0.4252  0.5480
Ga  0.3075  0.5748  0.4520
Ga  0.1925  0.0748  0.9520
Ga  0.8075  0.9252  0.0480
H  0.7606  0.5308  0.0986
H  0.2606  0.9692  0.4014
H  0.7394  0.0308  0.5986
H  0.2394  0.4692  0.9014

Distance to the lowest polymorph of the same formula (eV/atom): 0.000

---

Entry 3:
VASP calculation (PBE) on LiOF3 after structural relaxation.

abc: 3.8147 3.8147 3.8147
angles: 90.00 90.00 90.00
Fractional coordinates of all 5 atoms:
F  0.0000  0.0000  0.5000
F  0.5000  0.0000  0.0000
F  0.0000  0.5000  0.0000
Li  0.0000  0.0000  0.0000
O  0.5000  0.5000  0.5000

Uncorrected formation energy (meV per atom): -506
Distance to the lowest polymorph of the same formula (eV/atom): 0.632

---

Entry 4:
VASP calculation (PBE) on La3TmTh after structural relaxation.

abc: 5.8792 6.1105 10.2577
angles: 107.33 90.00 90.00
Fractional coordinates of all 10 atoms:
La  0.7500  0.9465  0.4822
La  0.2500  0.1983  0.1234
La  0.7500  0.0748  0.8766
La  0.7500  0.7552  0.1065
La  0.2500  0.6487  0.8935
La  0.2500  0.4643  0.5178
Th  0.2500  0.7548  0.2884
Th  0.7500  0.4665  0.7116
Tm  0.7500  0.3798  0.3104
Tm  0.2500  0.0694  0.6896

Distance to the lowest polymorph of the same formula (eV/atom): 0.000
ΔH_f (0 K) (eV per atom): 0.140

---

Size of the total moment per entry: 0.1, 1.0, 4.0, 0.0 μB/f.u.
Electronic total energy per entry: -4.18, -2.82, -3.00, -5.20 eV per atom
D(E_F) per entry: 2.03, 0.00, 0.66, 1.46 states/eV/atom